Entry 1:
A geometry-optimized Hf6CrRu5 structure, computed with GGA-PBE.

Properties
The value obtained for the formation energy is -0.6569 eV/atom.

Unit cell a=7.9331 b=7.9331 c=7.9331 alpha=146.41 beta=131.86 gamma=59.98
Atoms (fractional coordinates):
Hf 0.0831 0.3342 0.7490
Hf 0.2479 0.0000 0.2479
Hf 0.4148 0.6658 0.7490
Hf 0.5852 0.3342 0.2510
Hf 0.7521 0.0000 0.7521
Hf 0.9169 0.6658 0.2510
Cr 0.0000 0.5000 0.5000
Ru 0.1666 0.1666 0.0000
Ru 0.3331 0.8331 0.5000
Ru 0.5000 0.5000 0.0000
Ru 0.6669 0.1669 0.5000
Ru 0.8334 0.8334 0.0000

Entry 2:
A geometry-optimized Hf2CrRu structure, computed with GGA-PBE.

Properties
The value obtained for the formation energy is 0.3358 eV/atom.

Unit cell a=5.8749 b=5.8749 c=5.8749 alpha=104.54 beta=104.54 gamma=119.87
Atoms (fractional coordinates):
Hf 0.1029 0.6250 0.9779
Hf 0.3750 0.3529 0.4779
Hf 0.6471 0.1250 0.0221
Hf 0.8750 0.8971 0.5221
Cr 0.2500 0.7500 0.5000
Cr 0.5000 0.5000 0.0000
Ru 0.0000 0.0000 0.0000
Ru 0.7500 0.2500 0.5000